# 1
Density functional theory data (PBE) for a relaxed structure of Ba2Tl6CdGa.

Summary:
The value obtained for the density is 8.2 Mg/m³. The value obtained for the magnetization is 0.00 Bohr magnetons per cell. The formation energy is -0.1685 eV/atom.

CIF file:
```
data_Ba2Tl6CdGa
_chemical_formula_sum 'Ba4 Tl12 Cd2 Ga2'
_cell_length_a 8.721
_cell_length_b 7.671
_cell_length_c 10.182
_cell_angle_alpha 90.00
_cell_angle_beta 90.00
_cell_angle_gamma 90.00
_symmetry_space_group_name_H-M 'P 1'
_symmetry_Int_Tables_number 1
loop_
_symmetry_equiv_pos_as_xyz
'x,y,z'
loop_
_atom_site_label
_atom_site_type_symbol
_atom_site_fract_x
_atom_site_fract_y
_atom_site_fract_z
_atom_site_occupancy
Ba1 Ba 0.500 0.785 0.246 1
Ba2 Ba 0.000 0.215 0.746 1
Ba3 Ba 0.500 0.785 0.754 1
Ba4 Ba 0.000 0.215 0.254 1
Tl1 Tl 0.500 0.278 0.228 1
Tl2 Tl 0.500 0.278 0.772 1
Tl3 Tl 0.000 0.722 0.272 1
Tl4 Tl 0.000 0.722 0.728 1
Tl5 Tl 0.198 0.907 0.500 1
Tl6 Tl 0.802 0.907 0.500 1
Tl7 Tl 0.317 0.483 0.500 1
Tl8 Tl 0.683 0.483 0.500 1
Tl9 Tl 0.817 0.517 0.000 1
Tl10 Tl 0.183 0.517 0.000 1
Tl11 Tl 0.302 0.093 0.000 1
Tl12 Tl 0.698 0.093 0.000 1
Cd1 Cd 0.500 0.115 0.500 1
Cd2 Cd 0.000 0.885 0.000 1
Ga1 Ga 0.000 0.506 0.500 1
Ga2 Ga 0.500 0.494 0.000 1
```


# 2
Density functional theory data (PBE) for a relaxed structure of Ba4TlCd2Ga.

Summary:
The value obtained for the density is 5.8 Mg/m³. The value obtained for the magnetization is 0.00 Bohr magnetons per cell. The formation energy is -0.3449 eV/atom.

CIF file:
```
data_Ba4TlCd2Ga
_chemical_formula_sum 'Ba4 Tl1 Cd2 Ga1'
_cell_length_a 5.969
_cell_length_b 5.969
_cell_length_c 10.354
_cell_angle_alpha 73.25
_cell_angle_beta 73.25
_cell_angle_gamma 60.00
_symmetry_space_group_name_H-M 'P 1'
_symmetry_Int_Tables_number 1
loop_
_symmetry_equiv_pos_as_xyz
'x,y,z'
loop_
_atom_site_label
_atom_site_type_symbol
_atom_site_fract_x
_atom_site_fract_y
_atom_site_fract_z
_atom_site_occupancy
Ba1 Ba 0.378 0.378 0.866 1
Ba2 Ba 0.872 0.872 0.383 1
Ba3 Ba 0.128 0.128 0.617 1
Ba4 Ba 0.622 0.622 0.134 1
Tl1 Tl 0.000 0.000 0.000 1
Cd1 Cd 0.748 0.748 0.756 1
Cd2 Cd 0.252 0.252 0.244 1
Ga1 Ga 0.500 0.500 0.500 1
```


# 3
Density functional theory data (PBE) for a relaxed structure of BaTlCdGa.

Summary:
The value obtained for the density is 7.4 Mg/m³. The value obtained for the magnetization is 0.00 Bohr magnetons per cell. The formation energy is -0.2044 eV/atom.

CIF file:
```
data_BaTlCdGa
_chemical_formula_sum 'Ba1 Tl1 Cd1 Ga1'
_cell_length_a 5.501
_cell_length_b 5.501
_cell_length_c 5.501
_cell_angle_alpha 60.00
_cell_angle_beta 60.00
_cell_angle_gamma 60.00
_symmetry_space_group_name_H-M 'P 1'
_symmetry_Int_Tables_number 1
loop_
_symmetry_equiv_pos_as_xyz
'x,y,z'
loop_
_atom_site_label
_atom_site_type_symbol
_atom_site_fract_x
_atom_site_fract_y
_atom_site_fract_z
_atom_site_occupancy
Tl1 Tl 0.000 0.000 0.000 1
Ba1 Ba 0.250 0.250 0.250 1
Ga1 Ga 0.500 0.500 0.500 1
Cd1 Cd 0.750 0.750 0.750 1
```